No. 1
# YTc2Br PBE relaxed
# Space group = P4/mmm (123)
# V = 78.26 Å³ per cell
# Raw total energy = -6.85 eV/atom
# Raw formation energy = 370 meV/atom
# Crystal system = tetragonal
data_YTc2Br
_space_group_name_H-M_alt 'P 1'
_space_group_IT_number 1
_space_group_name_Hall 'P 1'
_cell_length_a 3.748
_cell_length_b 3.748
_cell_length_c 5.571
_cell_angle_alpha 90.00
_cell_angle_beta 90.00
_cell_angle_gamma 90.00
loop_
_atom_site_label
_atom_site_fract_x
_atom_site_fract_y
_atom_site_fract_z
_atom_site_occupancy
Y1 0.000 0.000 0.000 1
Tc1 0.000 0.500 0.500 1
Tc2 0.500 0.000 0.500 1
Br1 0.500 0.500 0.000 1

No. 2
# ZnTcOs PBE relaxed
# Space group = Fmm2 (42)
# Energy of formation = 0.30 eV per atom
# V = 44.13 Å³ per cell
# Raw total energy = -7.33 eV/atom
# Crystal system = orthorhombic
data_ZnTcOs
_space_group_name_H-M_alt 'P 1'
_space_group_IT_number 1
_space_group_name_Hall 'P 1'
_cell_length_a 7.142
_cell_length_b 6.912
_cell_length_c 2.698
_cell_angle_alpha 83.77
_cell_angle_beta 74.17
_cell_angle_gamma 22.06
loop_
_atom_site_label
_atom_site_fract_x
_atom_site_fract_y
_atom_site_fract_z
_atom_site_occupancy
Zn1 0.000 0.000 0.000 1
Tc1 0.330 0.330 0.670 1
Os1 0.669 0.669 0.331 1